Here is crystalline KTmCoCl6 at its relaxed geometry from the Alexandria database. Energies are from PBE-GGA.

Results
DOS(E_F): 0.11 states/eV/atom
magnetization: 3.00 μB/f.u.
formation energy from raw total energies: -14.78 eV per formula unit

a b c (Å): 6.589 6.607 7.039
angles (deg): 89.90 89.81 60.09
Each line ends with the local moment (μB).
Fractional coordinates of all 9 atoms:
1 Cl 0.362 0.621 0.295  0.06
2 Cl 0.017 0.621 0.705  0.06
3 Cl 0.622 0.362 0.705  0.05
4 Cl 0.616 0.017 0.291  0.05
5 Cl 0.368 0.017 0.709  0.05
6 Cl 0.017 0.362 0.295  0.05
7 K 0.000 0.000 0.000  0.00
8 Co 0.333 0.334 0.500  2.52
9 Tm 0.666 0.668 0.500  0.00